Material: Na3TaTi3O8
Method: DFT, PBE
State: relaxed

Cell lengths 5.989, 5.989, 6.655 Å; angles 116.87, 116.87, 59.97 degrees
Positions (direct):
Na  0.000  0.000  0.000
Na  0.000  0.500  0.000
Na  0.500  0.000  0.000
Ta  0.000  0.000  0.500
Ti  0.000  0.500  0.500
Ti  0.500  0.000  0.500
Ti  0.500  0.500  0.500
O  0.231  0.740  0.704
O  0.232  0.232  0.705
O  0.260  0.769  0.296
O  0.265  0.265  0.295
O  0.735  0.735  0.705
O  0.740  0.231  0.704
O  0.768  0.768  0.295
O  0.769  0.260  0.296

Calculated volume (Å³ per cell): 176.3
Formation energy (no corrections) (eV/atom): -2.46
Space-group type: No. 12
E (eV/atom): -7.74
D(E_F) (states/eV per atom): 0.358